Here is Zr2FeBr after structural relaxation from Alexandria. Energies are from PBE-GGA.

The space group is I-42d (No. 122) and the conventional cell measures 5.885, 5.885 and 12.024 Å, with angles of 90.00, 90.00 and 90.00 degrees. The distinct sites, in fractional coordinates, are Zr at (0.180, 0.250, 0.125), Fe at (0.000, 0.000, 0.000) and Br at (0.000, 0.000, 0.500).

The size of the total moment comes out at 0.000 μB per cell. The formation energy (no corrections) comes out at 345 meV/atom. As for the crystal system: tetragonal.



Here is Zr2FeBr after structural relaxation from Alexandria. Energies are from PBE-GGA.

The space group is Cmmm (No. 65) and the conventional cell measures 6.189, 7.529 and 3.206 Å, with angles of 90.00, 90.00 and 90.00 degrees. The distinct sites, in fractional coordinates, are Zr at (0.250, 0.250, 0.000), Fe at (0.000, 0.000, 0.500) and Br at (0.000, 0.500, 0.500).

The size of the total moment comes out at 3.229 μB per cell. The formation energy (no corrections) comes out at 60 meV/atom. As for the crystal system: orthorhombic.